Crystalline HfCrNO2 at its relaxed geometry, computed with PBE+U.

a = 4.042 Å, b = 4.042 Å, c = 4.295 Å
α = 90.00°, β = 90.00°, γ = 90.00°
Fractional positions:
Hf: 0.000 0.000 0.000
Cr: 0.500 0.500 0.500
N: 0.000 0.000 0.500
O: 0.000 0.500 0.000
O: 0.500 0.000 0.000

Calculated values
Symmetry ... P4/mmm, No. 123
Total energy ... -0.6173 Ry/atom